{"formula": "ZrAlOs4", "functional": "GGA-PBE", "state": "optimized geometry", "cell": [[0.000, 3.670, 3.670], [3.670, 0.000, 3.670], [3.670, 3.670, 0.000]], "species": ["Zr", "Al", "Os", "Os", "Os", "Os"], "fractional_positions": [[0.000, 0.000, 0.000], [0.250, 0.250, 0.250], [0.127, 0.624, 0.624], [0.624, 0.127, 0.624], [0.624, 0.624, 0.127], [0.624, 0.624, 0.624]], "spacegroup": "No. 216"}

***

{"formula": "InAgP2Au", "functional": "GGA-PBE", "state": "optimized geometry", "cell": [[5.009, 0.000, 0.000], [0.000, 5.009, 0.000], [0.000, 0.000, 5.231]], "species": ["In", "Ag", "P", "P", "Au"], "fractional_positions": [[0.000, 0.000, 0.000], [0.500, 0.500, 0.500], [0.000, 0.500, 0.000], [0.500, 0.000, 0.000], [0.000, 0.000, 0.500]], "spacegroup": "No. 123"}

***

{"formula": "CaTmZn2", "functional": "GGA-PBE", "state": "optimized geometry", "cell": [[3.608, 0.000, 0.000], [0.000, 3.608, 0.000], [0.000, 0.000, 7.156]], "species": ["Ca", "Tm", "Zn", "Zn"], "fractional_positions": [[0.000, 0.000, 0.000], [0.000, 0.000, 0.500], [0.500, 0.500, 0.274], [0.500, 0.500, 0.726]], "spacegroup": "No. 123"}

***

{"formula": "Y5TmIn6", "functional": "GGA-PBE", "state": "optimized geometry", "cell": [[-2.659, 3.742, 7.988], [2.659, -3.742, 7.988], [2.659, 3.742, -7.988]], "species": ["Y", "Y", "Y", "Y", "Y", "Tm", "In", "In", "In", "In", "In", "In"], "fractional_positions": [[0.000, 0.000, 0.000], [0.166, 0.666, 0.500], [0.332, 0.332, 0.000], [0.668, 0.668, 0.000], [0.834, 0.334, 0.500], [0.500, 0.000, 0.500], [0.086, 0.834, 0.252], [0.253, 0.500, 0.753], [0.418, 0.166, 0.252], [0.582, 0.834, 0.748], [0.747, 0.500, 0.247], [0.914, 0.166, 0.748]], "spacegroup": "No. 71"}

***

| no. | E (eV/cell) | ΔE_f (eV/f.u.) |
| --- | --- | --- |
| 1 | -57.26 | -0.054 |
| 2 | -14.34 | 5.344 |
| 3 | -10.23 | -1.207 |
| 4 | -59.06 | -5.836 |